{"formula": "NiB2C", "functional": "GGA-PBE", "state": "optimized geometry", "energy_ev_per_cell": -53.087, "density_g_cm3": 4.44, "dos_at_fermi_per_ev_fu": 0.74, "sg": "No. 122", "magmom_total_mub_per_fu": 0.000, "cell": [[4.397, 0.000, 0.000], [0.000, 4.397, 0.000], [2.198, 2.198, 3.575]], "species": ["Ni", "Ni", "C", "C", "B", "B", "B", "B"], "fractional_positions": [[0.000, 0.000, 0.000], [0.750, 0.250, 0.500], [0.500, 0.500, 0.000], [0.250, 0.750, 0.500], [0.541, 0.125, 0.250], [0.209, 0.625, 0.250], [0.375, 0.459, 0.750], [0.875, 0.791, 0.750]]}

=====

{"formula": "Tl3CuSi", "functional": "GGA-PBE", "state": "optimized geometry", "energy_ev_per_cell": -13.116, "density_g_cm3": 7.35, "dos_at_fermi_per_ev_fu": 3.36, "e_form_raw_kcal_per_mol_atoms": 16.2, "sg": "No. 221", "magmom_total_mub_per_fu": 0.000, "cell": [[5.421, 0.000, 0.000], [0.000, 5.421, 0.000], [0.000, 0.000, 5.421]], "species": ["Tl", "Tl", "Tl", "Si", "Cu"], "fractional_positions": [[0.000, 0.500, 0.000], [0.000, 0.000, 0.500], [0.500, 0.000, 0.000], [0.000, 0.000, 0.000], [0.500, 0.500, 0.500]]}

=====

{"formula": "HoTiPb2", "functional": "GGA-PBE", "state": "optimized geometry", "energy_ev_per_cell": -20.211, "density_g_cm3": 10.58, "dos_at_fermi_per_ev_fu": 4.20, "sg": "No. 123", "magmom_total_mub_per_fu": 0.686, "cell": [[4.381, 0.000, 0.000], [0.000, 4.739, 0.000], [0.000, 0.000, 4.739]], "species": ["Pb", "Pb", "Ho", "Ti"], "fractional_positions": [[0.000, 0.000, 0.500], [0.000, 0.500, 0.000], [0.500, 0.500, 0.500], [0.500, 0.000, 0.000]]}

=====

Please write out number 1 again, unchanged.
{"formula": "NiB2C", "functional": "GGA-PBE", "state": "optimized geometry", "energy_ev_per_cell": -53.087, "density_g_cm3": 4.44, "dos_at_fermi_per_ev_fu": 0.74, "sg": "No. 122", "magmom_total_mub_per_fu": 0.000, "cell": [[4.397, 0.000, 0.000], [0.000, 4.397, 0.000], [2.198, 2.198, 3.575]], "species": ["Ni", "Ni", "C", "C", "B", "B", "B", "B"], "fractional_positions": [[0.000, 0.000, 0.000], [0.750, 0.250, 0.500], [0.500, 0.500, 0.000], [0.250, 0.750, 0.500], [0.541, 0.125, 0.250], [0.209, 0.625, 0.250], [0.375, 0.459, 0.750], [0.875, 0.791, 0.750]]}